A relaxed structure of TiInH. Source: Alexandria via LeMat-Bulk, functional PBE.

Cell lengths 3.697, 3.697, 25.284 Å; angles 94.65, 94.65, 89.98 degrees
Element x y z (fractional)
In 0.084 0.034 0.099
H 0.650 0.200 0.532
Ti 0.690 0.641 0.279
Ti 0.804 0.696 0.525
In 0.624 0.577 0.164
H 0.800 0.350 0.468
Ti 0.884 0.838 0.769
Ti 0.526 0.974 0.000
H 0.505 0.454 0.963
H 0.676 0.128 0.255
Ti 0.162 0.116 0.231
H 0.546 0.495 0.037
In 0.228 0.186 0.346
H 0.872 0.324 0.745
Ti 0.026 0.474 0.000
Ti 0.304 0.196 0.475
H 0.176 0.629 0.255
H 0.371 0.824 0.745
In 0.762 0.721 0.407
In 0.279 0.238 0.593
In 0.423 0.376 0.836
Ti 0.359 0.310 0.721
In 0.814 0.772 0.654
In 0.966 0.916 0.901

Properties
- Density of states at the Fermi level: 12.565 states/eV per cell
- Total DFT energy (no corrections): -114.97 eV per cell
- Energy relative to the lowest polymorph listed for this composition: 0.1799 eV/atom

A relaxed structure of Ti3InH. Source: Alexandria via LeMat-Bulk, functional PBE.

Cell lengths 10.862, 7.675, 7.675 Å; angles 97.50, 131.17, 48.83 degrees
Element x y z (fractional)
Ti 0.586 0.809 0.259
Ti 0.914 0.759 0.309
Ti 0.715 0.318 0.277
Ti 0.414 0.191 0.741
H 0.333 0.862 0.924
Ti 0.285 0.682 0.723
In 0.750 0.049 0.549
Ti 0.200 0.890 0.015
H 0.833 0.576 0.638
In 0.750 0.545 0.045
Ti 0.086 0.241 0.691
In 0.250 0.455 0.955
Ti 0.300 0.515 0.390
Ti 0.700 0.485 0.610
Ti 0.215 0.223 0.182
In 0.250 0.951 0.451
Ti 0.800 0.110 0.985
H 0.167 0.424 0.362
Ti 0.785 0.777 0.818
H 0.667 0.138 0.076

Properties
- Density of states at the Fermi level: 19.037 states/eV per cell
- Total DFT energy (no corrections): -121.35 eV per cell

A relaxed structure of Ti4In3H. Source: Alexandria via LeMat-Bulk, functional PBE.

Cell lengths 6.012, 6.012, 6.012 Å; angles 84.11, 123.03, 123.89 degrees
Each line ends with the local moment (μB).
Element x y z (fractional)
Ti 0.125 0.282 0.407  0.33
H 0.082 0.500 0.582  0.00
Ti 0.597 0.236 0.361  0.45
Ti 0.125 0.764 0.361  0.45
Ti 0.125 0.718 0.842  0.33
In 0.607 0.270 0.877  -0.01
In 0.882 0.000 0.882  0.00
In 0.607 0.730 0.338  -0.01

Properties
- Density of states at the Fermi level: 7.521 states/eV per cell
- Total DFT energy (no corrections): -43.56 eV per cell

A relaxed structure of Ti3InH. Source: Alexandria via LeMat-Bulk, functional PBE.

Cell lengths 17.753, 5.320, 7.421 Å; angles 90.00, 154.66, 90.00 degrees
Element x y z (fractional)
Ti 0.705 0.436 0.191
Ti 0.189 0.780 0.215
H 0.166 0.384 0.762
In 0.430 0.773 0.441
Ti 0.205 0.064 0.691
In 0.070 0.273 0.059
Ti 0.046 0.741 0.564
Ti 0.811 0.220 0.785
Ti 0.295 0.564 0.809
Ti 0.311 0.280 0.285
H 0.834 0.616 0.238
H 0.666 0.116 0.262
Ti 0.795 0.936 0.309
Ti 0.689 0.720 0.715
Ti 0.954 0.259 0.436
In 0.570 0.227 0.559
Ti 0.546 0.759 0.064
H 0.334 0.884 0.738
In 0.930 0.727 0.941
Ti 0.454 0.241 0.936

Properties
- Density of states at the Fermi level: 19.877 states/eV per cell
- Total DFT energy (no corrections): -121.30 eV per cell

A relaxed structure of Ti3InH. Source: Alexandria via LeMat-Bulk, functional PBE.

Cell lengths 16.830, 7.414, 7.414 Å; angles 157.45, 151.86, 28.14 degrees
Element x y z (fractional)
In 0.812 0.976 0.024
Ti 0.704 0.278 0.722
Ti 0.939 0.650 0.350
In 0.188 0.024 0.976
Ti 0.578 0.589 0.411
H 0.321 0.102 0.898
Ti 0.422 0.411 0.589
H 0.679 0.898 0.102
Ti 0.296 0.722 0.278
Ti 0.061 0.350 0.650

Properties
- Density of states at the Fermi level: 4.056 states/eV per cell
- Total DFT energy (no corrections): -60.09 eV per cell

A relaxed structure of TiIn2H. Source: Alexandria via LeMat-Bulk, functional PBE.

Cell lengths 6.916, 6.916, 5.686 Å; angles 52.54, 52.54, 90.00 degrees
Each line ends with the local moment (μB).
Element x y z (fractional)
In 0.550 0.125 0.250  0.00
In 0.375 0.450 0.750  0.01
In 0.875 0.800 0.750  0.01
Ti 0.750 0.250 0.500  0.42
H 0.500 0.500 0.000  0.00
H 0.250 0.750 0.500  0.00
Ti 0.000 0.000 0.000  0.43
In 0.200 0.625 0.250  0.00

Properties
- Density of states at the Fermi level: 7.110 states/eV per cell
- Total DFT energy (no corrections): -30.74 eV per cell
- Energy relative to the lowest polymorph listed for this composition: 0.0000 eV/atom

A relaxed structure of Ti3InH. Source: Alexandria via LeMat-Bulk, functional PBE.

Cell lengths 5.820, 4.813, 5.820 Å; angles 90.01, 114.60, 89.99 degrees
Element x y z (fractional)
Ti 0.284 0.414 0.806
In 0.427 0.914 0.111
In 0.773 0.414 0.765
Ti 0.919 0.914 0.071
Ti 0.468 0.914 0.622
Ti 0.733 0.414 0.257
H 0.009 0.664 0.347
Ti 0.969 0.914 0.586
H 0.009 0.164 0.347
Ti 0.248 0.414 0.307

Properties
- Density of states at the Fermi level: 6.627 states/eV per cell
- Total DFT energy (no corrections): -62.04 eV per cell

A relaxed structure of Ti3InH. Source: Alexandria via LeMat-Bulk, functional PBE.

Cell lengths 2.823, 7.666, 7.666 Å; angles 138.45, 90.00, 90.00 degrees
Element x y z (fractional)
H 0.000 0.419 0.581
Ti 0.000 0.282 0.718
Ti 0.500 0.670 0.841
Ti 0.500 0.159 0.330
In 0.500 0.098 0.902

Properties
- Density of states at the Fermi level: 5.174 states/eV per cell
- Total DFT energy (no corrections): -27.28 eV per cell

A relaxed structure of TiInH3. Source: Alexandria via LeMat-Bulk, functional PBE.

Cell lengths 3.682, 3.682, 3.682 Å; angles 90.00, 90.00, 90.00 degrees
Element x y z (fractional)
H 0.000 0.500 0.000
Ti 0.000 0.000 0.000
H 0.000 0.000 0.500
H 0.500 0.000 0.000
In 0.500 0.500 0.500

Properties
- Density of states at the Fermi level: 2.779 states/eV per cell
- Total DFT energy (no corrections): -20.65 eV per cell
- Energy relative to the lowest polymorph listed for this composition: 0.0000 eV/atom

A relaxed structure of Ti6In3H. Source: Alexandria via LeMat-Bulk, functional PBE.

Cell lengths 7.089, 5.610, 5.610 Å; angles 60.99, 73.28, 73.28 degrees
Element x y z (fractional)
Ti 0.405 0.648 0.144
In 0.782 0.791 0.791
In 0.218 0.209 0.209
Ti 0.595 0.352 0.856
H 0.500 0.500 0.500
In 0.000 0.000 0.000
Ti 0.778 0.321 0.321
Ti 0.222 0.679 0.679
Ti 0.595 0.856 0.352
Ti 0.405 0.144 0.648

Properties
- Density of states at the Fermi level: 9.234 states/eV per cell
- Total DFT energy (no corrections): -58.71 eV per cell

A relaxed structure of Ti7In2H2. Source: Alexandria via LeMat-Bulk, functional PBE.

Cell lengths 5.502, 5.690, 5.502 Å; angles 84.59, 83.21, 95.41 degrees
Element x y z (fractional)
Ti 0.497 0.162 0.169
In 0.830 0.500 0.830
Ti 0.831 0.162 0.503
Ti 0.503 0.838 0.831
H 0.749 0.991 0.251
In 0.170 0.500 0.170
Ti 0.000 0.000 0.000
Ti 0.169 0.838 0.497
Ti 0.336 0.338 0.664
H 0.251 0.009 0.749
Ti 0.664 0.662 0.336

Properties
- Density of states at the Fermi level: 9.580 states/eV per cell
- Total DFT energy (no corrections): -68.87 eV per cell

A relaxed structure of Ti4In5H2. Source: Alexandria via LeMat-Bulk, functional PBE.

Cell lengths 3.063, 7.910, 9.029 Å; angles 115.98, 99.77, 90.00 degrees
Each line ends with the local moment (μB).
Element x y z (fractional)
H 0.454 0.454 0.909  0.00
In 0.500 0.000 0.000  0.00
Ti 0.000 0.666 0.000  -0.04
In 0.829 0.646 0.658  0.00
In 0.829 0.012 0.658  0.00
In 0.171 0.988 0.342  0.00
H 0.546 0.546 0.091  0.00
In 0.171 0.354 0.342  0.00
Ti 0.000 0.334 0.000  -0.04
Ti 0.343 0.343 0.686  0.13
Ti 0.657 0.657 0.314  0.13

Properties
- Density of states at the Fermi level: 8.494 states/eV per cell
- Total DFT energy (no corrections): -52.28 eV per cell

A relaxed structure of Ti2InH3. Source: Alexandria via LeMat-Bulk, functional PBE.

Cell lengths 3.415, 5.913, 6.821 Å; angles 108.77, 90.00, 106.78 degrees
Element x y z (fractional)
H 0.672 0.343 0.438
H 0.359 0.719 0.302
H 0.997 0.994 0.642
H 0.641 0.281 0.698
Ti 0.159 0.319 0.583
In 0.157 0.314 0.081
H 0.003 0.006 0.358
Ti 0.841 0.681 0.417
Ti 0.502 0.004 0.245
In 0.843 0.686 0.919
Ti 0.498 0.996 0.755
H 0.328 0.657 0.562

Properties
- Density of states at the Fermi level: 4.316 states/eV per cell
- Total DFT energy (no corrections): -60.86 eV per cell

A relaxed structure of Ti3InH3. Source: Alexandria via LeMat-Bulk, functional PBE.

Cell lengths 5.201, 5.201, 7.997 Å; angles 71.02, 71.02, 60.00 degrees
Element x y z (fractional)
H 0.803 0.473 0.580
In 0.334 0.334 0.997
H 0.856 0.197 0.420
H 0.197 0.527 0.420
Ti 0.561 0.222 0.319
H 0.473 0.144 0.580
Ti 0.439 0.778 0.681
H 0.144 0.803 0.580
Ti 0.899 0.561 0.319
In 0.666 0.666 0.003
Ti 0.222 0.899 0.319
H 0.527 0.856 0.420
Ti 0.778 0.101 0.681
Ti 0.101 0.439 0.681

Properties
- Density of states at the Fermi level: 10.870 states/eV per cell
- Total DFT energy (no corrections): -75.81 eV per cell
- Energy relative to the lowest polymorph listed for this composition: 0.1932 eV/atom

A relaxed structure of Ti5In2H2. Source: Alexandria via LeMat-Bulk, functional PBE.

Cell lengths 3.900, 5.350, 6.747 Å; angles 84.55, 90.00, 111.37 degrees
Element x y z (fractional)
H 0.821 0.642 0.119
Ti 0.149 0.299 0.576
H 0.179 0.358 0.881
Ti 0.000 0.000 0.000
In 0.432 0.864 0.716
Ti 0.717 0.433 0.856
Ti 0.283 0.567 0.144
In 0.568 0.136 0.284
Ti 0.851 0.701 0.424

Properties
- Density of states at the Fermi level: 7.008 states/eV per cell
- Total DFT energy (no corrections): -53.96 eV per cell

A relaxed structure of Ti3InH. Source: Alexandria via LeMat-Bulk, functional PBE.

Cell lengths 5.472, 5.472, 5.201 Å; angles 90.00, 90.00, 80.57 degrees
Element x y z (fractional)
Ti 0.467 0.130 0.250
Ti 0.000 0.000 0.500
In 0.648 0.352 0.750
Ti 0.870 0.533 0.250
In 0.352 0.648 0.250
Ti 0.533 0.870 0.750
Ti 0.000 0.000 0.000
H 0.800 0.200 0.250
Ti 0.130 0.467 0.750
H 0.200 0.800 0.750

Properties
- Density of states at the Fermi level: 8.119 states/eV per cell
- Total DFT energy (no corrections): -60.65 eV per cell

A relaxed structure of Ti3InH. Source: Alexandria via LeMat-Bulk, functional PBE.

Cell lengths 5.309, 5.309, 5.309 Å; angles 88.41, 88.41, 88.41 degrees
Element x y z (fractional)
Ti 0.750 0.996 0.504
Ti 0.504 0.750 0.996
Ti 0.496 0.250 0.004
H 0.750 0.750 0.750
Ti 0.004 0.496 0.250
H 0.250 0.250 0.250
Ti 0.250 0.004 0.496
Ti 0.996 0.504 0.750
In 0.500 0.500 0.500
In 0.000 0.000 0.000

Properties
- Density of states at the Fermi level: 9.451 states/eV per cell
- Total DFT energy (no corrections): -61.01 eV per cell

A relaxed structure of Ti4InH. Source: Alexandria via LeMat-Bulk, functional PBE.

Cell lengths 4.845, 5.704, 7.640 Å; angles 111.92, 108.32, 90.00 degrees
Element x y z (fractional)
H 0.299 0.577 0.154
Ti 0.000 0.258 0.000
In 0.190 0.189 0.378
Ti 0.804 0.303 0.607
In 0.810 0.811 0.622
Ti 0.196 0.697 0.393
Ti 0.389 0.140 0.783
Ti 0.611 0.357 0.217
Ti 0.389 0.643 0.783
Ti 0.611 0.860 0.217
H 0.701 0.423 0.846
Ti 0.000 0.742 0.000

Properties
- Density of states at the Fermi level: 10.776 states/eV per cell
- Total DFT energy (no corrections): -76.90 eV per cell
- Energy relative to the lowest polymorph listed for this composition: 0.0000 eV/atom

A relaxed structure of TiInH3. Source: Alexandria via LeMat-Bulk, functional PBE.

Cell lengths 3.806, 3.806, 3.806 Å; angles 90.00, 90.00, 90.00 degrees
Element x y z (fractional)
Ti 0.500 0.500 0.500
H 0.500 0.000 0.000
H 0.000 0.500 0.000
H 0.000 0.000 0.500
In 0.000 0.000 0.000

Properties
- Density of states at the Fermi level: 2.434 states/eV per cell
- Total DFT energy (no corrections): -16.79 eV per cell
- Energy relative to the lowest polymorph listed for this composition: 0.7706 eV/atom

A relaxed structure of Ti3InH. Source: Alexandria via LeMat-Bulk, functional PBE.

Cell lengths 21.964, 8.004, 8.004 Å; angles 159.24, 158.65, 21.35 degrees
Element x y z (fractional)
Ti 0.622 0.190 0.810
H 0.149 0.032 0.968
In 0.770 0.825 0.175
In 0.230 0.175 0.825
Ti 0.667 0.309 0.691
H 0.851 0.968 0.032
Ti 0.020 0.642 0.358
Ti 0.980 0.358 0.642
Ti 0.333 0.691 0.309
Ti 0.378 0.810 0.190

Properties
- Density of states at the Fermi level: 10.776 states/eV per cell
- Total DFT energy (no corrections): -58.64 eV per cell